Record 1
# HgSeCl2

A geometry-optimized HgSeCl2 structure (PBE-GGA, the Alexandria database).

Summary:
- SG: F-43m, No. 216
- Relative energy among the computed polymorphs: 0.605 eV per atom
- Spin magnetization: 1.7 Bohr magnetons per cell
- VASP energy: -1.546 eV per atom
- Formation energy without anion corrections: 0.324 eV per atom

Unit cell a=5.021 b=5.021 c=5.021 alpha=60.00 beta=60.00 gamma=60.00
Element x y z (fractional)
Hg1 0.000 0.000 0.000
Se1 0.750 0.750 0.750
Cl1 0.250 0.250 0.250
Cl2 0.500 0.500 0.500

Record 2
# Rb2SmRu3O12

A geometry-optimized Rb2SmRu3O12 structure (PBE-GGA, the Alexandria database).

Summary:
- SG: R-3m, No. 166
- Spin magnetization: 2.1 Bohr magnetons per cell
- VASP energy: -6.481 eV per atom
- Formation energy without anion corrections: -1.260 eV per atom

Unit cell a=7.567 b=7.567 c=7.567 alpha=58.08 beta=58.08 gamma=58.08
Element x y z (fractional)
Rb1 0.118 0.118 0.118
Rb2 0.882 0.882 0.882
Sm1 0.500 0.500 0.500
Ru1 0.000 0.500 0.500
Ru2 0.500 0.000 0.500
Ru3 0.500 0.500 0.000
O1 0.129 0.585 0.585
O2 0.199 0.199 0.579
O3 0.199 0.579 0.199
O4 0.415 0.415 0.871
O5 0.415 0.871 0.415
O6 0.421 0.801 0.801
O7 0.579 0.199 0.199
O8 0.585 0.129 0.585
O9 0.585 0.585 0.129
O10 0.801 0.421 0.801
O11 0.801 0.801 0.421
O12 0.871 0.415 0.415

Record 3
# TaSn2Pt

A geometry-optimized TaSn2Pt structure (PBE-GGA, the Alexandria database).

Summary:
- SG: I-42d, No. 122
- Relative energy among the computed polymorphs: 0.152 eV per atom
- Spin magnetization: 0.0 Bohr magnetons per cell
- VASP energy: -6.195 eV per atom
- Energy relative to the elements: 0.28 eV/atom

Unit cell a=6.131 b=6.131 c=6.131 alpha=103.72 beta=103.72 gamma=121.71
Element x y z (fractional)
Ta1 0.000 0.000 0.000
Ta2 0.750 0.250 0.500
Sn1 0.150 0.125 0.525
Sn2 0.375 0.850 0.975
Sn3 0.600 0.625 0.475
Sn4 0.875 0.400 0.025
Pt1 0.250 0.750 0.500
Pt2 0.500 0.500 0.000

Record 4
# HfTi2MnCd

A geometry-optimized HfTi2MnCd structure (PBE-GGA, the Alexandria database).

Summary:
- SG: P4/mmm, No. 123
- Spin magnetization: 0.7 Bohr magnetons per cell
- VASP energy: -5.383 eV per atom
- Energy relative to the elements: 1.78 eV/atom

Unit cell a=4.725 b=4.725 c=5.300 alpha=90.00 beta=90.00 gamma=90.00
Element x y z (fractional)
Hf1 0.000 0.000 0.000
Ti1 0.000 0.500 0.000
Ti2 0.500 0.000 0.000
Mn1 0.500 0.500 0.500
Cd1 0.000 0.000 0.500